1.
Compound: Al2P6Pb5
Source: Alexandria
Functional: meta-GGA SCAN
Structure: PBEsol geometry

Cell: 4.0517 6.6780 22.0474 Å, 90.00 90.00 90.00°
Last column: nearest neighbours and their distance in Å.
Element x y z (fractional)
Al (0.5000, 0.2846, 0.1160)  4 P 2.41-2.52
Al (0.5000, 0.7846, 0.3840)  4 P 2.41-2.52
Al (0.5000, 0.2154, 0.6160)  4 P 2.41-2.52
Al (0.5000, 0.7154, 0.8840)  4 P 2.41-2.52
Pb (0.0000, 0.3943, 0.4053)  5 P 2.90-3.06
Pb (0.0000, 0.7135, 0.2489)  6 P 2.89-3.14
Pb (0.0000, 0.1057, 0.9053)  5 P 2.90-3.06
Pb (0.0000, 0.5000, 0.0000)  6 P 2.96-3.00
Pb (0.0000, 0.2865, 0.7511)  6 P 2.89-3.14
Pb (0.0000, 0.7865, 0.7489)  6 P 2.89-3.14
Pb (0.0000, 0.6057, 0.5947)  5 P 2.90-3.06
Pb (0.0000, 0.2135, 0.2511)  6 P 2.89-3.14
Pb (0.0000, 0.0000, 0.5000)  6 P 2.96-3.00
Pb (0.0000, 0.8943, 0.0947)  5 P 2.90-3.06
P (0.5000, 0.5003, 0.3167)  1 Al 2.41
P (0.5000, 0.3302, 0.5073)  1 P 2.29, 1 Al 2.52
P (0.0000, 0.4761, 0.1342)  2 Al 2.43
P (0.5000, 0.0003, 0.1833)  1 Al 2.41
P (0.0000, 0.5239, 0.8658)  2 Al 2.43
P (0.5000, 0.8302, 0.9927)  1 P 2.29, 1 Al 2.52
P (0.5000, 0.1698, 0.0073)  1 P 2.29, 1 Al 2.52
P (0.5000, 0.9997, 0.8167)  1 Al 2.41
P (0.5000, 0.6698, 0.4927)  1 P 2.29, 1 Al 2.52
P (0.0000, 0.0239, 0.6342)  2 Al 2.43
P (0.0000, 0.9761, 0.3658)  2 Al 2.43
P (0.5000, 0.4997, 0.6833)  1 Al 2.41

Summary:
The space group is Pbam. The calculated volume is 596.5 Å³/cell. The formation energy is -0.03 eV/atom.


2.
Compound: CoSb2TeOs
Source: Alexandria
Functional: meta-GGA SCAN
Structure: PBEsol geometry

Cell: 4.9529 4.9529 5.4659 Å, 90.00 90.00 90.00°
Last column: nearest neighbours and their distance in Å.
Element x y z (fractional)
Sb (0.0000, 0.5000, 0.0000)  2 Os 2.48
Sb (0.5000, 0.0000, 0.0000)  2 Os 2.48
Co (0.5000, 0.5000, 0.5000)  4 Te 3.50, 8 Sb 3.69
Os (0.0000, 0.0000, 0.0000)  4 Sb 2.48, 2 Te 2.73
Te (0.0000, 0.0000, 0.5000)  2 Os 2.73

Summary:
The space group is P4/mmm. The calculation puts the total energy at -39.154 eV per atom. The calculated volume is 134.1 Å³/cell.


3.
Compound: YPtSe
Source: Alexandria
Functional: meta-GGA SCAN
Structure: PBEsol geometry

Cell: 3.7128 3.7128 5.1253 Å, 111.24 111.24 90.00°
Last column: nearest neighbours and their distance in Å.
Element x y z (fractional)
Y (0.3316, 0.3316, 0.6632)  5 Se 2.93-3.09, 5 Pt 2.95-3.05
Se (0.6829, 0.6829, 0.3658)  1 Pt 2.66, 4 Y 2.93
Pt (0.9855, 0.9855, 0.9711)  1 Se 2.66, 4 Y 2.95

Summary:
The space group is I4mm. The calculation puts the total energy at -40.486 eV per atom. The calculated volume is 60.7 Å³/cell.


4.
Compound: MgTc4Mo
Source: Alexandria
Functional: meta-GGA SCAN
Structure: PBEsol geometry

Cell: 5.0634 5.0634 5.0634 Å, 60.00 60.00 60.00°
Last column: nearest neighbours and their distance in Å.
Element x y z (fractional)
Tc (0.6245, 0.6245, 0.6245)  6 Tc 2.52-2.54
Tc (0.6245, 0.6245, 0.1264)  6 Tc 2.52-2.54
Tc (0.1264, 0.6245, 0.6245)  6 Tc 2.52-2.54
Tc (0.6245, 0.1264, 0.6245)  6 Tc 2.52-2.54
Mg (0.2500, 0.2500, 0.2500)  12 Tc 2.97, 4 Mo 3.10
Mo (0.0000, 0.0000, 0.0000)  12 Tc 2.97, 4 Mg 3.10

Summary:
The space group is F-43m. The calculated volume is 91.8 Å³/cell. The formation energy is 0.12 eV/atom.


5.
Compound: SrTaRu2
Source: Alexandria
Functional: meta-GGA SCAN
Structure: PBEsol geometry

Cell: 2.8780 3.6660 7.5845 Å, 90.00 90.00 90.00°
Last column: nearest neighbours and their distance in Å.
Element x y z (fractional)
Sr (0.0000, 0.0000, 0.4760)  2 Sr 2.88
Ru (0.5000, 0.5000, 0.1652)  1 Ta 2.51, 4 Ru 2.56
Ru (0.0000, 0.0000, 0.0240)  4 Ru 2.56, 4 Ta 2.74
Ta (0.5000, 0.5000, 0.8349)  5 Ru 2.51-2.74

Summary:
The space group is Pmm2. The calculated volume is 80.0 Å³/cell. The formation energy is 0.49 eV/atom.


6.
Compound: CrFe2Tc
Source: Alexandria
Functional: meta-GGA SCAN
Structure: PBEsol geometry

Cell: 2.9000 2.9000 5.6076 Å, 90.00 90.00 90.00°
Last column: nearest neighbours and their distance in Å.
Element x y z (fractional)
Tc (0.0000, 0.0000, 0.5072)  4 Cr 2.48, 4 Fe 2.56
Fe (0.5000, 0.5000, 0.2327)  4 Fe 2.42, 4 Tc 2.56, 1 Cr 2.67
Fe (0.0000, 0.0000, 0.0036)  4 Fe 2.42, 4 Cr 2.47
Cr (0.5000, 0.5000, 0.7565)  5 Fe 2.47-2.67, 4 Tc 2.48

Summary:
The space group is P4mm. The calculated volume is 47.2 Å³/cell. The formation energy is 0.01 eV/atom.